## NaSr6Mg (GGA-PBE)

Data for a relaxed NaSr6Mg crystal.

ΔE_f in meV/atom: 86
ΔE to the lowest computed polymorph in eV per formula unit: 0.640
Uncorrected energy in eV/atom: -1.539
M_tot in μB/f.u.: 0.79

```
NaSr6Mg
1.0
7.288 0.000 0.000
0.001 7.293 0.000
0.011 0.000 7.294
Na Sr Mg
1 6 1
Cartesian
0.000 0.000 0.000
0.014 5.447 3.648
1.856 3.646 7.287
3.647 7.291 1.846
3.653 0.002 5.448
5.445 3.648 0.007
7.286 1.847 3.646
3.650 3.647 3.647
```